# 1
A relaxed structure of LaTc2Rh2, computed with PBE. Values from VASP.

Summary:
Space group   P4/mmm (123)
Energy above the most stable polymorph in this dataset   468 meV/atom
Formation energy   0.43 eV/atom
Crystal system   tetragonal
DOS(E_F)   0.73 states/eV per atom

Quantum ESPRESSO input file:
```
&SYSTEM
  ibrav = 0, nat = 5, ntyp = 3
/
ATOMIC_SPECIES
Rh 102.91 Rh.upf
Tc 98.00 Tc.upf
La 138.91 La.upf
CELL_PARAMETERS angstrom
-1.612 -4.271 -1.495
2.174 0.662 -4.232
3.813 -2.015 1.644
ATOMIC_POSITIONS crystal
Rh 0.500 0.000 0.000
Rh 0.000 0.500 0.000
Tc 0.000 0.000 0.500
Tc 0.000 0.000 0.000
La 0.500 0.500 0.500
```



# 2
A relaxed structure of La4TcRh, computed with PBE. Values from VASP.

Summary:
Space group   F-43m (216)
Energy above the most stable polymorph in this dataset   1198 meV/atom
Formation energy   0.90 eV/atom
Crystal system   cubic
DOS(E_F)   1.52 states/eV per atom

Quantum ESPRESSO input file:
```
&SYSTEM
  ibrav = 0, nat = 6, ntyp = 3
/
ATOMIC_SPECIES
La 138.91 La.upf
Tc 98.00 Tc.upf
Rh 102.91 Rh.upf
CELL_PARAMETERS angstrom
-5.757 -1.666 1.161
-3.120 2.722 4.485
-4.601 3.780 -1.341
ATOMIC_POSITIONS crystal
La 0.375 0.875 0.375
La 0.875 0.375 0.375
La 0.375 0.375 0.875
La 0.375 0.375 0.375
Tc 0.000 0.000 0.000
Rh 0.750 0.750 0.750
```



# 3
A relaxed structure of La2TcRh, computed with PBE. Values from VASP.

Summary:
Space group   P4mm (99)
Energy above the most stable polymorph in this dataset   192 meV/atom
Formation energy   0.03 eV/atom
Crystal system   tetragonal
DOS(E_F)   1.21 states/eV per atom

Quantum ESPRESSO input file:
```
&SYSTEM
  ibrav = 0, nat = 4, ntyp = 3
/
ATOMIC_SPECIES
Tc 98.00 Tc.upf
Rh 102.91 Rh.upf
La 138.91 La.upf
CELL_PARAMETERS angstrom
3.765 0.000 0.000
0.000 3.763 0.000
0.000 0.000 7.374
ATOMIC_POSITIONS crystal
Tc 0.500 0.500 0.687
Rh 0.000 0.000 0.551
La 0.500 0.500 0.355
La 0.000 0.000 0.906
```



# 4
A relaxed structure of La2TcRh, computed with PBE. Values from VASP.

Summary:
Space group   R-3m (166)
Energy above the most stable polymorph in this dataset   256 meV/atom
Formation energy   0.09 eV/atom
Crystal system   trigonal
DOS(E_F)   0.95 states/eV per atom

Quantum ESPRESSO input file:
```
&SYSTEM
  ibrav = 0, nat = 4, ntyp = 3
/
ATOMIC_SPECIES
La 138.91 La.upf
Rh 102.91 Rh.upf
Tc 98.00 Tc.upf
CELL_PARAMETERS angstrom
8.480 -0.042 -0.025
7.698 3.557 -0.025
7.698 1.672 3.139
ATOMIC_POSITIONS crystal
La 0.502 0.502 0.502
La 0.998 0.998 0.998
Rh 0.250 0.250 0.250
Tc 0.750 0.750 0.750
```



Question: Look up the DOS(E_F) of the fourth one.
Answer: 0.95 states/eV per atom



Question: Which of these has the highest formation energy?
Answer: La4TcRh



Question: The highest formation energy belongs to which entry?
Answer: La4TcRh



Question: Look up the DOS(E_F) of the fourth one.
Answer: 0.95 states/eV per atom